Entry 1:
## PmErMgCu (PBE)

Data for a geometry-optimized PmErMgCu structure.

a = 5.171 Å, b = 5.171 Å, c = 5.171 Å
α = 60.00°, β = 60.00°, γ = 60.00°
Atoms (fractional coordinates):
Mg (0.000, 0.000, 0.000)
Cu (0.500, 0.500, 0.500)
Er (0.750, 0.750, 0.750)
Pm (0.250, 0.250, 0.250)

Properties
The value obtained for the total energy is -3.805 eV/atom. Its formation energy from the elements is -0.054 eV per atom. Its crystal system is cubic. The calculation puts the volume at 97.8 Å³/cell. The calculation puts the theoretical density at 6.794 g/cm³.

---

Entry 2:
## Ge4Ir2Os (PBE)

Data for a geometry-optimized Ge4Ir2Os structure.

a = 3.226 Å, b = 6.554 Å, c = 6.611 Å
α = 114.13°, β = 104.12°, γ = 90.00°
Site moments in Bohr magnetons follow the coordinates.
Atoms (fractional coordinates):
Ir (0.741, 0.695, 0.483)  0.08
Ir (0.259, 0.305, 0.517)  0.08
Ge (0.598, 0.314, 0.195)  0.00
Ge (0.847, 0.139, 0.695)  0.00
Ge (0.153, 0.861, 0.305)  0.00
Ge (0.402, 0.686, 0.805)  0.00
Os (0.000, 0.000, 0.000)  0.01

Properties
The value obtained for the total energy is -6.929 eV/atom. Its formation energy from the elements is -0.154 eV per atom. Its crystal system is monoclinic. The calculation puts the volume at 122.9 Å³/cell. The calculation puts the theoretical density at 11.687 g/cm³.

---

Entry 3:
## Sc2MoP (PBE)

Data for a geometry-optimized Sc2MoP structure.

a = 5.356 Å, b = 5.356 Å, c = 4.498 Å
α = 74.49°, β = 74.49°, γ = 36.12°
Atoms (fractional coordinates):
Sc (0.970, 0.970, 0.064)
Sc (0.752, 0.752, 0.732)
Mo (0.553, 0.553, 0.473)
P (0.226, 0.226, 0.231)

Properties
The value obtained for the total energy is -7.618 eV/atom. Its formation energy from the elements is -0.392 eV per atom. Its crystal system is monoclinic. The calculation puts the volume at 73.0 Å³/cell. The calculation puts the theoretical density at 4.933 g/cm³.

---

Entry 4:
## Cs2TiFeRe (PBE)

Data for a geometry-optimized Cs2TiFeRe structure.

a = 6.802 Å, b = 3.961 Å, c = 6.802 Å
α = 90.00°, β = 90.00°, γ = 90.00°
Atoms (fractional coordinates):
Cs (0.000, 0.000, 0.500)
Cs (0.500, 0.000, 0.000)
Ti (0.000, 0.500, 0.000)
Fe (0.000, 0.000, 0.000)
Re (0.500, 0.500, 0.500)

Properties
The value obtained for the total energy is -3.682 eV/atom. Its formation energy from the elements is 2.420 eV per atom. Its crystal system is tetragonal. The calculation puts the volume at 183.2 Å³/cell. The calculation puts the theoretical density at 5.036 g/cm³.

---

Entry 5:
## CoMoOsCl2 (PBE)

Data for a geometry-optimized CoMoOsCl2 structure.

a = 4.608 Å, b = 4.999 Å, c = 4.608 Å
α = 90.00°, β = 90.00°, γ = 90.00°
Site moments in Bohr magnetons follow the coordinates.
Atoms (fractional coordinates):
Mo (0.000, 0.000, 0.000)  -0.20
Co (0.500, 0.500, 0.500)  2.21
Cl (0.000, 0.000, 0.500)  0.03
Cl (0.500, 0.000, 0.000)  0.01
Os (0.000, 0.500, 0.000)  1.07

Properties
The value obtained for the total energy is -5.209 eV/atom. The formation energy (no corrections) comes out at 6.8 eV/f.u. Its crystal system is tetragonal. The calculation puts the volume at 106.1 Å³/cell. The calculation puts the theoretical density at 6.508 g/cm³.

---

Entry 6:
## Pr4Nd8Dy3 (PBE)

Data for a geometry-optimized Pr4Nd8Dy3 structure.

a = 7.103 Å, b = 7.103 Å, c = 12.816 Å
α = 73.91°, β = 73.91°, γ = 60.00°
Atoms (fractional coordinates):
Nd (0.749, 0.749, 0.255)
Nd (0.755, 0.755, 0.736)
Nd (0.247, 0.749, 0.255)
Nd (0.749, 0.247, 0.255)
Nd (0.753, 0.251, 0.745)
Nd (0.251, 0.251, 0.745)
Nd (0.245, 0.245, 0.264)
Nd (0.251, 0.753, 0.745)
Dy (0.000, 0.500, 0.500)
Dy (0.000, 0.000, 0.500)
Dy (0.500, 0.000, 0.500)
Pr (0.000, 0.000, 0.000)
Pr (0.336, 0.336, 0.991)
Pr (0.500, 0.500, 0.500)
Pr (0.664, 0.664, 0.009)

Properties
The value obtained for the total energy is -4.625 eV/atom. Its formation energy from the elements is 0.113 eV per atom. As for the offset from the most stable computed form: 0 kJ/mol of formula units. Its crystal system is trigonal. The calculation puts the volume at 530.6 Å³/cell. The calculation puts the theoretical density at 6.901 g/cm³.

---

Entry 7:
## Ce2PmIn (PBE)

Data for a geometry-optimized Ce2PmIn structure.

a = 4.642 Å, b = 4.336 Å, c = 11.660 Å
α = 90.00°, β = 99.09°, γ = 90.00°
Atoms (fractional coordinates):
Ce (0.000, 0.250, 0.890)
Ce (0.614, 0.250, 0.115)
Ce (0.000, 0.750, 0.110)
Ce (0.386, 0.750, 0.885)
In (0.178, 0.250, 0.322)
In (0.822, 0.750, 0.678)
Pm (0.700, 0.750, 0.394)
Pm (0.300, 0.250, 0.606)

Properties
The value obtained for the total energy is -5.042 eV/atom. Its formation energy from the elements is -0.203 eV per atom. As for the offset from the most stable computed form: 0 kJ/mol of formula units. Its crystal system is monoclinic. The calculation puts the volume at 231.8 Å³/cell. The calculation puts the theoretical density at 7.739 g/cm³.

---

Entry 8:
## RbFe2Os (PBE)

Data for a geometry-optimized RbFe2Os structure.

a = 4.455 Å, b = 4.455 Å, c = 4.455 Å
α = 60.00°, β = 60.00°, γ = 60.00°
Atoms (fractional coordinates):
Rb (0.000, 0.000, 0.000)
Fe (0.750, 0.750, 0.750)
Fe (0.250, 0.250, 0.250)
Os (0.500, 0.500, 0.500)

Properties
The value obtained for the total energy is -5.323 eV/atom. Its formation energy from the elements is 1.958 eV per atom. As for the offset from the most stable computed form: 123 kJ/mol of formula units. Its crystal system is cubic. The calculation puts the volume at 62.5 Å³/cell. The calculation puts the theoretical density at 10.290 g/cm³.